Entry 1:
This record from Alexandria via LeMat-Bulk describes a relaxed BaCu3Br crystal. The functional is PBEsol.

Summary:
Total magnetization ... 0.00 μB/f.u.
Fermi-level density of states ... 0.89 states/eV per atom
Raw formation energy ... 1.42 eV/atom

Cell: 5.453 5.453 5.453 Å, 90.00 90.00 90.00°
Fractional positions:
Ba (0.000, 0.000, 0.000)
Cu (0.000, 0.000, 0.500)
Cu (0.000, 0.500, 0.000)
Cu (0.500, 0.000, 0.000)
Br (0.500, 0.500, 0.500)

=====

Entry 2:
This record from Alexandria via LeMat-Bulk describes a relaxed LiZrFe2 crystal. The functional is PBEsol.

Summary:
Total magnetization ... 3.27 μB/f.u.
ΔE_f ... 181 meV/atom
Fermi-level density of states ... 0.67 states/eV per atom

Cell: 4.238 4.238 4.238 Å, 60.00 60.00 60.00°
Fractional positions:
Li (0.000, 0.000, 0.000)
Zr (0.250, 0.250, 0.250)
Fe (0.500, 0.500, 0.500)
Fe (0.750, 0.750, 0.750)

=====

Entry 3:
This record from Alexandria via LeMat-Bulk describes a relaxed BaZr2Fe crystal. The functional is PBEsol.

Summary:
Total magnetization ... 0.60 μB/f.u.
ΔE_f ... 252 meV/atom
Fermi-level density of states ... 1.28 states/eV per atom

Cell: 3.225 3.225 9.055 Å, 90.00 90.25 90.00°
Fractional positions:
Ba (0.000, 0.000, 0.000)
Zr (0.498, 0.500, 0.661)
Zr (0.502, 0.500, 0.339)
Fe (0.000, 0.000, 0.500)

=====

Entry 4:
This record from Alexandria via LeMat-Bulk describes a relaxed Ta2ReW crystal. The functional is PBEsol.

Summary:
Total magnetization ... 0.00 μB/f.u.
ΔE_f ... -189 meV/atom
Fermi-level density of states ... 0.37 states/eV per atom

Cell: 3.184 4.474 4.537 Å, 90.00 90.00 90.00°
Fractional positions:
Ta (0.000, 0.000, 0.000)
Ta (0.500, 0.000, 0.500)
Re (0.000, 0.500, 0.500)
W (0.500, 0.500, 0.000)

=====

Entry 5:
This record from Alexandria via LeMat-Bulk describes a relaxed Sr3InS crystal. The functional is PBEsol.

Summary:
Total magnetization ... 0.01 μB/f.u.
Fermi-level density of states ... 1.20 states/eV per atom
Raw formation energy ... -0.92 eV/atom

Cell: 5.653 5.653 5.653 Å, 90.00 90.00 90.00°
Fractional positions:
Sr (0.000, 0.000, 0.500)
Sr (0.000, 0.500, 0.000)
Sr (0.500, 0.000, 0.000)
In (0.500, 0.500, 0.500)
S (0.000, 0.000, 0.000)

=====

Entry 6:
This record from Alexandria via LeMat-Bulk describes a relaxed Mg2NiMo crystal. The functional is PBEsol.

Summary:
Total magnetization ... 0.01 μB/f.u.
ΔE_f ... 359 meV/atom
Fermi-level density of states ... 1.01 states/eV per atom

Cell: 5.110 5.110 2.624 Å, 90.00 90.00 116.13°
Fractional positions:
Mg (0.000, 0.500, 0.000)
Mg (0.500, 0.000, 0.000)
Ni (0.000, 0.000, 0.500)
Mo (0.500, 0.500, 0.500)

=====

Entry 7:
This record from Alexandria via LeMat-Bulk describes a relaxed TaRhAu2 crystal. The functional is PBEsol.

Summary:
Total magnetization ... 0.00 μB/f.u.
ΔE_f ... -190 meV/atom
Fermi-level density of states ... 0.88 states/eV per atom

Cell: 5.012 5.012 5.012 Å, 134.28 134.28 66.65°
Fractional positions:
Ta (0.000, 0.000, 0.000)
Rh (0.500, 0.500, 0.000)
Au (0.250, 0.750, 0.500)
Au (0.750, 0.250, 0.500)

=====

Entry 8:
This record from Alexandria via LeMat-Bulk describes a relaxed AgPbBrN2 crystal. The functional is PBEsol.

Summary:
Total magnetization ... 2.32 μB/f.u.
Fermi-level density of states ... 0.19 states/eV per atom
Raw formation energy ... 1.57 eV/atom

Cell: 4.230 4.230 6.275 Å, 90.00 90.00 90.00°
Fractional positions:
Ag (0.000, 0.000, 0.000)
Pb (0.000, 0.000, 0.500)
Br (0.500, 0.500, 0.000)
N (0.000, 0.500, 0.500)
N (0.500, 0.000, 0.500)

=====

Entry 9:
This record from Alexandria via LeMat-Bulk describes a relaxed InReBi2 crystal. The functional is PBEsol.

Summary:
Total magnetization ... 0.00 μB/f.u.
ΔE_f ... 1027 meV/atom
Fermi-level density of states ... 0.93 states/eV per atom

Cell: 7.986 7.986 7.986 Å, 132.27 132.27 69.81°
Fractional positions:
In (0.000, 0.000, 0.000)
In (0.750, 0.250, 0.500)
Re (0.250, 0.750, 0.500)
Re (0.500, 0.500, 0.000)
Bi (0.180, 0.625, 0.055)
Bi (0.375, 0.430, 0.555)
Bi (0.570, 0.125, 0.945)
Bi (0.875, 0.820, 0.445)

=====

Entry 10:
This record from Alexandria via LeMat-Bulk describes a relaxed Cs2TlGaCl6 crystal. The functional is PBEsol.

Summary:
Total magnetization ... 0.00 μB/f.u.
Fermi-level density of states ... 0.00 states/eV per atom
Raw formation energy ... -1.46 eV/atom

Cell: 7.554 7.554 7.554 Å, 60.00 60.00 60.00°
Fractional positions:
Cs (0.250, 0.250, 0.250)
Cs (0.750, 0.750, 0.750)
Tl (0.000, 0.000, 0.000)
Ga (0.500, 0.500, 0.500)
Cl (0.278, 0.278, 0.722)
Cl (0.278, 0.722, 0.278)
Cl (0.278, 0.722, 0.722)
Cl (0.722, 0.278, 0.278)
Cl (0.722, 0.278, 0.722)
Cl (0.722, 0.722, 0.278)

=====

Entry 11:
This record from Alexandria via LeMat-Bulk describes a relaxed MnZnFeH2 crystal. The functional is PBEsol.

Summary:
Total magnetization ... 5.88 μB/f.u.
Fermi-level density of states ... 0.71 states/eV per atom
E ... -4.395 eV per atom

Cell: 3.333 3.333 5.114 Å, 90.00 90.00 90.00°
Fractional positions:
Mn (0.000, 0.000, 0.000)
Zn (0.000, 0.000, 0.500)
Fe (0.500, 0.500, 0.000)
H (0.000, 0.500, 0.500)
H (0.500, 0.000, 0.500)

=====

Entry 12:
This record from Alexandria via LeMat-Bulk describes a relaxed K2Li3NiO4 crystal. The functional is PBEsol.

Summary:
Total magnetization ... 3.01 μB/f.u.
Raw formation energy ... -1.44 eV/atom

Cell: 5.476 8.667 10.869 Å, 90.00 111.58 90.00°
Fractional positions:
K (0.207, 0.008, 0.361)
K (0.207, 0.492, 0.861)
K (0.221, 0.229, 0.607)
K (0.221, 0.271, 0.107)
K (0.779, 0.729, 0.893)
K (0.779, 0.771, 0.393)
K (0.793, 0.508, 0.139)
K (0.793, 0.992, 0.639)
Li (0.125, 0.736, 0.698)
Li (0.125, 0.764, 0.198)
Li (0.135, 0.004, 0.934)
Li (0.135, 0.496, 0.434)
Li (0.404, 0.526, 0.300)
Li (0.404, 0.974, 0.800)
Li (0.596, 0.026, 0.200)
Li (0.596, 0.474, 0.700)
Li (0.865, 0.504, 0.566)
Li (0.865, 0.996, 0.066)
Li (0.875, 0.236, 0.802)
Li (0.875, 0.264, 0.302)
Ni (0.401, 0.718, 0.561)
Ni (0.401, 0.782, 0.061)
Ni (0.599, 0.218, 0.939)
Ni (0.599, 0.282, 0.439)
O (0.240, 0.552, 0.623)
O (0.240, 0.948, 0.123)
O (0.246, 0.174, 0.854)
O (0.246, 0.326, 0.354)
O (0.265, 0.690, 0.379)
O (0.265, 0.810, 0.879)
O (0.278, 0.605, 0.114)
O (0.278, 0.895, 0.614)
O (0.722, 0.105, 0.386)
O (0.722, 0.395, 0.886)
O (0.735, 0.190, 0.121)
O (0.735, 0.310, 0.621)
O (0.754, 0.674, 0.646)
O (0.754, 0.826, 0.146)
O (0.760, 0.052, 0.877)
O (0.760, 0.448, 0.377)